#a
Compound: La2SeS
Source: Alexandria via LeMat-Bulk
Functional: PBE-GGA
Structure: relaxed

Computed properties:
Total moment: 0.00 μB/f.u.

Unit cell a=4.2299 b=4.2299 c=7.3614 alpha=73.30 beta=73.30 gamma=60.00
Fractional coordinates of all 4 atoms:
S1 0.0000 0.0000 0.0000
Se1 0.5000 0.5000 0.5000
La1 0.2560 0.2560 0.2321
La2 0.7440 0.7440 0.7679

---

#b
Compound: La2SeS
Source: Alexandria via LeMat-Bulk
Functional: PBE-GGA
Structure: relaxed

Computed properties:
Total moment: 0.00 μB/f.u.

Unit cell a=6.6559 b=6.6559 c=8.1176 alpha=65.80 beta=65.80 gamma=90.00
Fractional coordinates of all 8 atoms:
S1 0.5000 0.5000 0.0000
S2 0.2500 0.7500 0.5000
Se1 0.0000 0.0000 0.0000
Se2 0.7500 0.2500 0.5000
La1 0.6095 0.1250 0.2500
La2 0.1405 0.6250 0.2500
La3 0.3750 0.3905 0.7500
La4 0.8750 0.8595 0.7500

---

#c
Compound: La2SeS
Source: Alexandria via LeMat-Bulk
Functional: PBE-GGA
Structure: relaxed

Computed properties:
Total moment: 0.00 μB/f.u.

Unit cell a=4.1501 b=4.1501 c=7.6823 alpha=74.33 beta=74.33 gamma=60.00
Fractional coordinates of all 4 atoms:
La1 0.0747 0.0747 0.7759
La2 0.2582 0.2582 0.2252
Se1 0.4991 0.4991 0.5026
S1 0.6679 0.6679 0.9962

---

#d
Compound: La2SeS
Source: Alexandria via LeMat-Bulk
Functional: PBE-GGA
Structure: relaxed

Computed properties:
Total moment: 0.00 μB/f.u.

Unit cell a=4.2134 b=6.0006 c=8.5193 alpha=90.00 beta=90.00 gamma=90.00
Fractional coordinates of all 8 atoms:
La1 0.0000 0.0000 0.8633
La2 0.0000 0.0000 0.3846
La3 0.5000 0.5000 0.6154
La4 0.5000 0.5000 0.1367
Se1 0.0000 0.5000 0.8757
Se2 0.5000 0.0000 0.1243
S1 0.5000 0.0000 0.6238
S2 0.0000 0.5000 0.3762

---

The structure with the most favorable energy is #a; the runner-up is 13 meV/atom above it.